Record 1
DFT (GGA-PBE) results for a relaxed structure of Sb3W.

The space group is R-3m (No. 166, hexagonal axes) and the conventional cell measures 3.3638, 3.3638 and 28.9727 Å, with angles of 90.00, 90.00 and 120.00 degrees. The asymmetric unit holds Sb at (0.0000, 0.0000, 0.0000), Sb at (0.0000, 0.0000, 0.2357) and W at (0.0000, 0.0000, 0.5000).

The total magnetization comes out at 0.000 μB per formula unit. The calculation puts the volume at 94.64 Å³/f.u. As for the density: 9.63 g cm⁻³. As for the energy relative to the lowest polymorph listed for this composition: 0.0647 eV per atom. The electronic total energy is -0.439 Ry per atom.

Record 2
DFT (GGA-PBE) results for a relaxed structure of SbW.

The space group is I-43m (No. 217) and the conventional cell measures 8.371, 8.371 and 8.371 Å, with angles of 90.00, 90.00 and 90.00 degrees. The asymmetric unit holds Sb at (0.198, 0.198, 0.198) and W at (0.109, 0.109, 0.891).

The total magnetization comes out at 0.000 μB per formula unit. The calculation puts the volume at 73.33 Å³/f.u. As for the density: 6.92 g cm⁻³. As for the energy relative to the lowest polymorph listed for this composition: 0.5356 eV per atom. The electronic total energy is -0.568 Ry per atom.

Record 3
DFT (GGA-PBE) results for a relaxed structure of SbW2.

The space group is Cm (No. 8) and the conventional cell measures 10.332, 3.264 and 6.649 Å, with angles of 90.00, 103.45 and 90.00 degrees. The asymmetric unit holds Sb at (0.000, 0.000, 0.000), Sb at (0.216, 0.500, 0.384), W at (0.049, 0.000, 0.608), W at (0.219, 0.500, 0.957), W at (0.330, 0.000, 0.706) and W at (0.432, 0.000, 0.305).

The total magnetization comes out at 0.000 μB per formula unit. The calculation puts the volume at 54.51 Å³/f.u. As for the density: 14.91 g cm⁻³. As for the energy relative to the lowest polymorph listed for this composition: 0.1132 eV per atom. The electronic total energy is -0.694 Ry per atom.

Record 4
DFT (GGA-PBE) results for a relaxed structure of Sb3W.

The space group is R-3m (No. 166, hexagonal axes) and the conventional cell measures 9.9517, 9.9517 and 3.1962 Å, with angles of 90.00, 90.00 and 120.00 degrees. The asymmetric unit holds Sb at (0.0000, 0.5000, 0.0000) and W at (0.0000, 0.0000, 0.0000).

The total magnetization comes out at 0.002 μB per formula unit. The calculation puts the volume at 91.38 Å³/f.u. As for the density: 9.98 g cm⁻³. As for the energy relative to the lowest polymorph listed for this composition: 0.6219 eV per atom. The electronic total energy is -0.398 Ry per atom.

Record 5
DFT (GGA-PBE) results for a relaxed structure of SbW2.

The space group is C2/m (No. 12) and the conventional cell measures 9.687, 3.256 and 7.145 Å, with angles of 90.00, 107.88 and 90.00 degrees. The asymmetric unit holds Sb at (0.014, 0.000, 0.273), W at (0.163, 0.500, 0.049) and W at (0.185, 0.500, 0.624).

The total magnetization comes out at 0.000 μB per formula unit. The calculation puts the volume at 53.62 Å³/f.u. As for the density: 15.16 g cm⁻³. As for the energy relative to the lowest polymorph listed for this composition: 0.0906 eV per atom. The electronic total energy is -0.695 Ry per atom.

Record 6
DFT (GGA-PBE) results for a relaxed structure of SbW2.

The space group is P-3m1 (No. 164) and the conventional cell measures 3.1659, 3.1659 and 6.6384 Å, with angles of 90.00, 90.00 and 120.00 degrees. The asymmetric unit holds Sb at (0.0000, 0.0000, 0.0000) and W at (0.3333, 0.6667, 0.3650).

The total magnetization comes out at 0.000 μB per formula unit. The calculation puts the volume at 57.62 Å³/f.u. As for the density: 14.11 g cm⁻³. As for the energy relative to the lowest polymorph listed for this composition: 0.1069 eV per atom. The electronic total energy is -0.694 Ry per atom.

Record 7
DFT (GGA-PBE) results for a relaxed structure of Sb3W.

The space group is Pmm2 (No. 25) and the conventional cell measures 3.508, 4.626 and 6.670 Å, with angles of 90.00, 90.00 and 90.00 degrees. The asymmetric unit holds Sb at (0.000, 0.000, 0.000), Sb at (0.000, 0.500, 0.488), Sb at (0.500, 0.000, 0.591) and W at (0.500, 0.500, 0.820).

The total magnetization comes out at 0.000 μB per formula unit. The calculation puts the volume at 108.25 Å³/f.u. As for the density: 8.42 g cm⁻³. As for the energy relative to the lowest polymorph listed for this composition: 0.3888 eV per atom. The electronic total energy is -0.415 Ry per atom.

Record 8
DFT (GGA-PBE) results for a relaxed structure of Sb3W.

The space group is Cmmm (No. 65) and the conventional cell measures 6.343, 8.079 and 3.490 Å, with angles of 90.00, 90.00 and 90.00 degrees. The asymmetric unit holds Sb at (0.000, 0.000, 0.000), Sb at (0.250, 0.250, 0.500) and W at (0.000, 0.500, 0.000).

The total magnetization comes out at 0.000 μB per formula unit. The calculation puts the volume at 89.42 Å³/f.u. As for the density: 10.20 g cm⁻³. As for the energy relative to the lowest polymorph listed for this composition: 0.5517 eV per atom. The electronic total energy is -0.403 Ry per atom.

Record 9
DFT (GGA-PBE) results for a relaxed structure of Sb3W.

The space group is Pnma (No. 62) and the conventional cell measures 6.866, 8.317 and 6.667 Å, with angles of 90.00, 90.00 and 90.00 degrees. The asymmetric unit holds Sb at (0.027, 0.250, 0.137), Sb at (0.170, 0.569, 0.351) and W at (0.164, 0.250, 0.525).

The total magnetization comes out at 0.000 μB per formula unit. The calculation puts the volume at 95.18 Å³/f.u. As for the density: 9.58 g cm⁻³. As for the energy relative to the lowest polymorph listed for this composition: 0.0000 eV per atom. The electronic total energy is -0.444 Ry per atom.

Record 10
DFT (GGA-PBE) results for a relaxed structure of SbW.

The space group is P2_13 (No. 198) and the conventional cell measures 5.336, 5.336 and 5.336 Å, with angles of 90.00, 90.00 and 90.00 degrees. The asymmetric unit holds Sb at (0.091, 0.409, 0.591) and W at (0.116, 0.884, 0.384).

The total magnetization comes out at 0.000 μB per formula unit. The calculation puts the volume at 37.98 Å³/f.u. As for the density: 13.36 g cm⁻³. As for the energy relative to the lowest polymorph listed for this composition: 0.3342 eV per atom. The electronic total energy is -0.583 Ry per atom.

Record 11
DFT (GGA-PBE) results for a relaxed structure of SbW.

The space group is Pmmn (No. 59, origin choice 2) and the conventional cell measures 3.228, 15.103 and 4.778 Å, with angles of 90.00, 90.00 and 90.00 degrees. The asymmetric unit holds Sb at (0.250, 0.088, 0.080), Sb at (0.250, 0.750, 0.648), W at (0.250, 0.250, 0.825) and W at (0.250, 0.567, 0.408).

The total magnetization comes out at 0.000 μB per formula unit. The calculation puts the volume at 38.82 Å³/f.u. As for the density: 13.07 g cm⁻³. As for the energy relative to the lowest polymorph listed for this composition: 0.4114 eV per atom. The electronic total energy is -0.577 Ry per atom.

Record 12
DFT (GGA-PBE) results for a relaxed structure of Sb3W.

The space group is Pm-3n (No. 223) and the conventional cell measures 5.657, 5.657 and 5.657 Å, with angles of 90.00, 90.00 and 90.00 degrees. The asymmetric unit holds Sb at (0.000, 0.250, 0.500) and W at (0.000, 0.000, 0.000).

The total magnetization comes out at 0.000 μB per formula unit. The calculation puts the volume at 90.53 Å³/f.u. As for the density: 10.07 g cm⁻³. As for the energy relative to the lowest polymorph listed for this composition: 0.4493 eV per atom. The electronic total energy is -0.411 Ry per atom.

| no. | raw formation energy (kcal/mol of atoms) |
| --- | --- |
| 1 | 8.3 |
| 2 | 18.6 |
| 3 | 13.2 |
| 4 | 21.1 |
| 5 | 12.7 |
| 6 | 13.1 |
| 7 | 15.8 |
| 8 | 19.5 |
| 9 | 6.8 |
| 10 | 13.9 |
| 11 | 15.7 |
| 12 | 17.2 |